Here is a geometry-optimized Ti2ZnPd2 structure from the Alexandria database. Energies are from PBE-GGA.

Formation energy from the elements   -0.281 eV/atom
V   16.6 A^3/atom
E above lowest polymorph   142 meV/atom
Fermi-level density of states   10.78 states/eV per cell

```
data_Ti2ZnPd2
_chemical_formula_sum 'Ti4 Zn2 Pd4'
_cell_length_a 7.6167
_cell_length_b 7.6167
_cell_length_c 2.8681
_cell_angle_alpha 90.00
_cell_angle_beta 90.00
_cell_angle_gamma 90.00
_symmetry_space_group_name_H-M 'P 4/m b m'
_symmetry_Int_Tables_number 127
_symmetry_space_group_name_Hall '-P 4 2ab'
loop_
_atom_site_label
_atom_site_type_symbol
_atom_site_fract_x
_atom_site_fract_y
_atom_site_fract_z
Ti1 Ti 0.1629 0.3371 0.0000
Zn1 Zn 0.0000 0.0000 0.0000
Pd1 Pd 0.1328 0.6328 0.5000
```



Here is a geometry-optimized Pr2InTe4 structure from the Alexandria database. Energies are from PBE-GGA.

V   32.2 A^3/atom
E above lowest polymorph   0 meV/atom
Fermi-level density of states   15.10 states/eV per cell

```
data_Pr2InTe4
_chemical_formula_sum 'Pr8 In4 Te16'
_cell_length_a 9.5576
_cell_length_b 9.5576
_cell_length_c 9.8840
_cell_angle_alpha 90.00
_cell_angle_beta 90.00
_cell_angle_gamma 90.00
_symmetry_space_group_name_H-M 'I -4 2 d'
_symmetry_Int_Tables_number 122
_symmetry_space_group_name_Hall 'I -4 2bw'
loop_
_atom_site_label
_atom_site_type_symbol
_atom_site_fract_x
_atom_site_fract_y
_atom_site_fract_z
Pr1 Pr 0.1321 0.2500 0.1250
In1 In 0.0000 0.0000 0.5000
Te1 Te 0.0730 0.1788 0.8070
```



Here is a geometry-optimized MgMn2GaH structure from the Alexandria database. Energies are from PBE-GGA.

V   11.9 A^3/atom
Electronic total energy   -5.282 eV per atom
Fermi-level density of states   2.29 states/eV per cell

```
data_MgMn2GaH
_chemical_formula_sum 'Mg1 Mn2 Ga1 H1'
_cell_length_a 3.8416
_cell_length_b 3.8416
_cell_length_c 4.0183
_cell_angle_alpha 90.00
_cell_angle_beta 90.00
_cell_angle_gamma 90.00
_symmetry_space_group_name_H-M 'P 4/m m m'
_symmetry_Int_Tables_number 123
_symmetry_space_group_name_Hall '-P 4 2'
loop_
_atom_site_label
_atom_site_type_symbol
_atom_site_fract_x
_atom_site_fract_y
_atom_site_fract_z
Mg1 Mg 0.0000 0.0000 0.0000
Mn1 Mn 0.0000 0.5000 0.5000
Ga1 Ga 0.5000 0.5000 0.0000
H1 H 0.0000 0.0000 0.5000
```



Here is a geometry-optimized Zn2In5Hg12 structure from the Alexandria database. Energies are from PBE-GGA.

Formation energy from the elements   0.032 eV/atom
V   25.9 A^3/atom
Fermi-level density of states   5.30 states/eV per cell

```
data_Zn2In5Hg12
_chemical_formula_sum 'Zn2 In5 Hg12'
_cell_length_a 7.6662
_cell_length_b 8.2119
_cell_length_c 8.3802
_cell_angle_alpha 86.44
_cell_angle_beta 88.75
_cell_angle_gamma 69.25
_symmetry_space_group_name_H-M 'P -1'
_symmetry_Int_Tables_number 2
loop_
_symmetry_equiv_pos_as_xyz
'x,y,z'
'-x,-y,-z'
loop_
_atom_site_label
_atom_site_type_symbol
_atom_site_fract_x
_atom_site_fract_y
_atom_site_fract_z
Zn1 Zn 0.0290 0.3950 0.3889
In1 In 0.0000 0.0000 0.0000
In2 In 0.3958 0.3524 0.5533
In3 In 0.4719 0.7942 0.0424
Hg1 Hg 0.1023 0.3333 0.8747
Hg2 Hg 0.1233 0.8266 0.4089
Hg3 Hg 0.2310 0.6756 0.8007
Hg4 Hg 0.2580 0.1153 0.2325
Hg5 Hg 0.3269 0.5078 0.1938
Hg6 Hg 0.3280 0.0011 0.6527
```



Here is a geometry-optimized Hf2ZrFe structure from the Alexandria database. Energies are from PBE-GGA.

Formation energy from the elements   -0.118 eV/atom
V   19.0 A^3/atom
E above lowest polymorph   30 meV/atom
Fermi-level density of states   4.42 states/eV per cell

```
data_Hf2ZrFe
_chemical_formula_sum 'Hf2 Zr1 Fe1'
_cell_length_a 3.2065
_cell_length_b 3.2065
_cell_length_c 7.4110
_cell_angle_alpha 90.00
_cell_angle_beta 90.00
_cell_angle_gamma 90.00
_symmetry_space_group_name_H-M 'P 4/m m m'
_symmetry_Int_Tables_number 123
_symmetry_space_group_name_Hall '-P 4 2'
loop_
_atom_site_label
_atom_site_type_symbol
_atom_site_fract_x
_atom_site_fract_y
_atom_site_fract_z
Hf1 Hf 0.0000 0.0000 0.2066
Zr1 Zr 0.5000 0.5000 0.5000
Fe1 Fe 0.5000 0.5000 0.0000
```



Here is a geometry-optimized VTePtI2 structure from the Alexandria database. Energies are from PBE-GGA.

V   31.7 A^3/atom
E above lowest polymorph   103 meV/atom
Fermi-level density of states   10.12 states/eV per cell

```
data_VTePtI2
_chemical_formula_sum 'V1 Te1 Pt1 I2'
_cell_length_a 5.4201
_cell_length_b 5.4201
_cell_length_c 5.3931
_cell_angle_alpha 90.00
_cell_angle_beta 90.00
_cell_angle_gamma 90.00
_symmetry_space_group_name_H-M 'P 4/m m m'
_symmetry_Int_Tables_number 123
_symmetry_space_group_name_Hall '-P 4 2'
loop_
_atom_site_label
_atom_site_type_symbol
_atom_site_fract_x
_atom_site_fract_y
_atom_site_fract_z
V1 V 0.0000 0.0000 0.0000
Te1 Te 0.5000 0.5000 0.0000
Pt1 Pt 0.5000 0.5000 0.5000
I1 I 0.0000 0.5000 0.5000
```



Here is a geometry-optimized TiNb4 structure from the Alexandria database. Energies are from PBE-GGA.

Formation energy from the elements   1.203 eV/atom
V   20.5 A^3/atom
E above lowest polymorph   1217 meV/atom
Fermi-level density of states   8.52 states/eV per cell

```
data_TiNb4
_chemical_formula_sum 'Ti1 Nb4'
_cell_length_a 4.6787
_cell_length_b 4.6787
_cell_length_c 4.6787
_cell_angle_alpha 90.00
_cell_angle_beta 90.00
_cell_angle_gamma 90.00
_symmetry_space_group_name_H-M 'P m -3 m'
_symmetry_Int_Tables_number 221
_symmetry_space_group_name_Hall '-P 4 2 3'
loop_
_atom_site_label
_atom_site_type_symbol
_atom_site_fract_x
_atom_site_fract_y
_atom_site_fract_z
Ti1 Ti 0.0000 0.0000 0.0000
Nb1 Nb 0.0000 0.0000 0.5000
Nb2 Nb 0.5000 0.5000 0.5000
```



Here is a geometry-optimized VReNi6 structure from the Alexandria database. Energies are from PBE-GGA.

Formation energy from the elements   0.520 eV/atom
V   13.3 A^3/atom
Fermi-level density of states   21.32 states/eV per cell

```
data_VReNi6
_chemical_formula_sum 'V3 Re3 Ni18'
_cell_length_a 6.5487
_cell_length_b 6.5487
_cell_length_c 8.6230
_cell_angle_alpha 90.00
_cell_angle_beta 90.00
_cell_angle_gamma 120.00
_symmetry_space_group_name_H-M 'R -3 m'
_symmetry_Int_Tables_number 166
_symmetry_space_group_name_Hall '-R 3 2"'
loop_
_atom_site_label
_atom_site_type_symbol
_atom_site_fract_x
_atom_site_fract_y
_atom_site_fract_z
V1 V 0.0000 0.0000 0.0000
Re1 Re 0.0000 0.0000 0.5000
Ni1 Ni 0.0880 0.5440 0.8786
```



Here is a geometry-optimized KZrSi3 structure from the Alexandria database. Energies are from PBE-GGA.

V   27.7 A^3/atom
E above lowest polymorph   0 meV/atom
Fermi-level density of states   2.46 states/eV per cell

```
data_KZrSi3
_chemical_formula_sum 'K1 Zr1 Si3'
_cell_length_a 5.1715
_cell_length_b 5.1715
_cell_length_c 5.1715
_cell_angle_alpha 90.00
_cell_angle_beta 90.00
_cell_angle_gamma 90.00
_symmetry_space_group_name_H-M 'P m -3 m'
_symmetry_Int_Tables_number 221
_symmetry_space_group_name_Hall '-P 4 2 3'
loop_
_atom_site_label
_atom_site_type_symbol
_atom_site_fract_x
_atom_site_fract_y
_atom_site_fract_z
K1 K 0.0000 0.0000 0.0000
Zr1 Zr 0.5000 0.5000 0.5000
Si1 Si 0.0000 0.5000 0.5000
```